(1)
Zr12Nb3Au5 PBE-GGA relaxed; formation enthalpy at 0 K = 0.38 eV/atom; symmetry = Ia-3d, No. 230; DFT total energy = -0.260 Ha/atom; magnetic moment = 0.0 μB/cell
1.0
-9.444 7.517 -7.202
8.866 -6.211 -8.966
-6.620 -9.805 7.591
Nb Au Zr
12 20 48
Direct
0.750 0.375 0.125 Nb
0.875 0.750 0.125 Nb
0.375 0.750 0.625 Nb
0.250 0.125 0.375 Nb
0.875 0.125 0.250 Nb
0.375 0.625 0.250 Nb
0.625 0.375 0.750 Nb
0.125 0.875 0.750 Nb
0.750 0.875 0.625 Nb
0.625 0.250 0.375 Nb
0.125 0.250 0.875 Nb
0.250 0.625 0.875 Nb
0.125 0.375 0.250 Au
0.000 0.500 0.000 Au
0.000 0.000 0.000 Au
0.375 0.250 0.125 Au
0.500 0.000 0.500 Au
0.500 0.500 0.000 Au
0.125 0.750 0.375 Au
0.750 0.125 0.875 Au
0.750 0.625 0.375 Au
0.375 0.125 0.750 Au
0.625 0.875 0.250 Au
0.500 0.500 0.500 Au
0.500 0.000 0.000 Au
0.000 0.000 0.500 Au
0.250 0.375 0.625 Au
0.250 0.875 0.125 Au
0.000 0.500 0.500 Au
0.875 0.250 0.625 Au
0.625 0.750 0.875 Au
0.875 0.625 0.750 Au
0.729 0.139 0.064 Zr
0.334 0.564 0.425 Zr
0.936 0.361 0.271 Zr
0.564 0.229 0.139 Zr
0.591 0.729 0.666 Zr
0.936 0.575 0.166 Zr
0.334 0.771 0.409 Zr
0.075 0.909 0.139 Zr
0.575 0.936 0.666 Zr
0.729 0.591 0.166 Zr
0.771 0.436 0.361 Zr
0.834 0.925 0.064 Zr
0.139 0.729 0.564 Zr
0.361 0.425 0.091 Zr
0.091 0.925 0.361 Zr
0.409 0.139 0.575 Zr
0.091 0.166 0.229 Zr
0.436 0.666 0.075 Zr
0.834 0.909 0.271 Zr
0.139 0.409 0.075 Zr
0.361 0.936 0.771 Zr
0.575 0.639 0.409 Zr
0.925 0.834 0.564 Zr
0.771 0.334 0.909 Zr
0.425 0.361 0.591 Zr
0.075 0.166 0.436 Zr
0.229 0.666 0.091 Zr
0.166 0.091 0.729 Zr
0.639 0.064 0.229 Zr
0.861 0.591 0.925 Zr
0.564 0.334 0.925 Zr
0.591 0.861 0.425 Zr
0.909 0.834 0.771 Zr
0.909 0.075 0.639 Zr
0.861 0.271 0.436 Zr
0.166 0.075 0.936 Zr
0.639 0.575 0.909 Zr
0.425 0.064 0.334 Zr
0.271 0.409 0.834 Zr
0.229 0.564 0.639 Zr
0.925 0.091 0.861 Zr
0.666 0.229 0.591 Zr
0.436 0.771 0.861 Zr
0.064 0.425 0.834 Zr
0.409 0.271 0.334 Zr
0.064 0.639 0.729 Zr
0.666 0.436 0.575 Zr
0.271 0.861 0.936 Zr



(2)
Zr2NbAu2 PBE-GGA relaxed; formation enthalpy at 0 K = -0.09 eV/atom; symmetry = P4/mbm, No. 127; DFT total energy = -0.251 Ha/atom; energy above the lowest structure with this stoichiometry = 0.116 eV per atom; magnetic moment = 0.0 μB/cell
1.0
-3.106 7.013 1.427
-3.236 0.011 -7.099
-2.783 -1.490 1.266
Nb Au Zr
2 4 4
Direct
0.000 0.000 0.000 Nb
0.500 0.500 0.000 Nb
0.134 0.634 0.500 Au
0.634 0.866 0.500 Au
0.866 0.366 0.500 Au
0.366 0.134 0.500 Au
0.336 0.836 0.000 Zr
0.836 0.664 0.000 Zr
0.664 0.164 0.000 Zr
0.164 0.336 0.000 Zr



(3)
Zr3NbAu PBE-GGA relaxed; formation enthalpy at 0 K = 0.95 eV/atom; symmetry = Pm-3m, No. 221; DFT total energy = -0.251 Ha/atom; energy above the lowest structure with this stoichiometry = 0.099 eV per atom; magnetic moment = 2.2 μB/cell
1.0
5.124 0.000 0.000
0.000 5.124 0.000
0.000 0.000 5.124
Nb Au Zr
1 1 3
Direct
0.500 0.500 0.500 Nb
0.000 0.000 0.000 Au
0.000 0.500 0.000 Zr
0.000 0.000 0.500 Zr
0.500 0.000 0.000 Zr